Here is a relaxed structure of Ce6PuRu2 from Alexandria. Energies are from PBE.

**Space group**: No. 14
**DOS at the Fermi energy**: 23.1 states/eV/cell
**V**: 25.2 A^3/atom
**M_tot**: 0.00 μB/f.u.
**Uncorrected energy**: -7.777 eV per atom

```
18
Lattice="6.4126 0.0000 0.0350 0.0000 7.1289 0.0000 0.3538 0.0000 9.9343" Properties=species:S:1:pos:R:3 pbc="T T T"
Ce 1.1251 0.2491 2.6316
Ce 1.2015 2.1636 5.7710
Ce 1.4401 2.4492 9.3650
Ce 2.2968 6.0136 5.5540
Ce 2.5354 5.7281 9.1480
Ce 2.2581 3.8135 2.3531
Ce 5.6412 6.8798 7.3378
Ce 5.5648 4.9653 4.1984
Ce 5.3262 4.6797 0.6044
Ce 4.4696 1.1153 4.4153
Ce 4.2310 1.4009 0.8213
Ce 4.5083 3.3154 7.6163
Pu 3.2063 3.5645 0.0175
Pu 0.1769 0.0000 4.9672
Ru 0.3959 4.3066 7.0408
Ru 3.3411 0.7421 7.8782
Ru 3.4253 6.3868 2.0911
Ru 6.3705 2.8223 2.9286
```

=====

Here is a relaxed structure of CaYRu from Alexandria. Energies are from PBE.

**Space group**: No. 12
**DOS at the Fermi energy**: 8.6 states/eV/cell
**V**: 26.0 A^3/atom
**M_tot**: 0.00 μB/f.u.
**Distance to the lowest polymorph of the same formula**: 5 meV per atom
**Uncorrected energy**: -6.016 eV per atom

```
12
Lattice="6.8920 0.0000 0.0248 0.0000 3.4632 0.0000 -3.3551 0.0000 13.0523" Properties=species:S:1:pos:R:3 pbc="T T T"
Y 0.0475 0.0000 8.0031
Y 3.4894 0.0000 5.0741
Y 1.7251 1.7316 1.4769
Y 1.8119 1.7316 11.6002
Ru 1.7685 1.7316 6.5386
Ru 3.4460 0.0000 0.0124
Ru 0.0000 0.0000 0.0000
Ru -1.6775 1.7316 6.5261
Ca 0.0821 0.0000 4.7203
Ca 3.4548 0.0000 8.3568
Ca -1.5954 1.7316 11.2464
Ca 5.1323 1.7316 1.8307
```

=====

Here is a relaxed structure of ZnIr2Cl from Alexandria. Energies are from PBE.

**Space group**: No. 35
**DOS at the Fermi energy**: 2.5 states/eV/cell
**V**: 15.6 A^3/atom
**Energy relative to the elements, uncorrected**: 344 meV/atom
**M_tot**: 0.00 μB/f.u.
**Distance to the lowest polymorph of the same formula**: 200 meV per atom
**Uncorrected energy**: -4.867 eV per atom

```
4
Lattice="2.9086 -0.0002 0.0000 -1.5409 2.4669 0.0000 0.0000 0.0000 8.6825" Properties=species:S:1:pos:R:3 pbc="T T T"
Cl 0.6839 1.2334 6.4662
Ir 0.0000 0.0000 8.6798
Ir 0.6839 1.2334 2.2039
Zn 0.0000 0.0000 4.3563
```

=====

Here is a relaxed structure of FePbW from Alexandria. Energies are from PBE.

**Space group**: No. 156
**DOS at the Fermi energy**: 2.4 states/eV/cell
**V**: 17.9 A^3/atom
**M_tot**: 1.84 μB/f.u.
**Uncorrected energy**: -7.450 eV per atom

```
3
Lattice="4.2832 0.0000 0.0000 -2.1416 3.7093 0.0000 0.0000 0.0000 3.3798" Properties=species:S:1:pos:R:3 pbc="T T T"
Fe 0.0000 0.0000 3.0828
Pb 0.0000 2.4729 1.0303
W 2.1416 1.2364 2.6465
```

=====

Here is a relaxed structure of LuHfZr2 from Alexandria. Energies are from PBE.

**Space group**: No. 225
**DOS at the Fermi energy**: 7.2 states/eV/cell
**V**: 23.8 A^3/atom
**M_tot**: 0.00 μB/f.u.
**Distance to the lowest polymorph of the same formula**: 94 meV per atom
**Uncorrected energy**: -7.706 eV per atom

```
4
Lattice="5.1278 0.0000 0.0000 2.5639 4.4408 0.0000 2.5639 1.4803 4.1868" Properties=species:S:1:pos:R:3 pbc="T T T"
Lu 0.0000 0.0000 0.0000
Hf 5.1278 2.9605 2.0934
Zr 2.5639 1.4803 1.0467
Zr 7.6917 4.4408 3.1401
```

=====

Here is a relaxed structure of TbDy2HoTm from Alexandria. Energies are from PBE.

**Space group**: No. 63
**DOS at the Fermi energy**: 13.6 states/eV/cell
**V**: 33.7 A^3/atom
**M_tot**: 0.00 μB/f.u.
**Uncorrected energy**: -4.173 eV per atom

```
10
Lattice="7.1606 0.0000 0.0000 0.0000 8.3009 0.0000 0.0000 -4.1505 5.6632" Properties=species:S:1:pos:R:3 pbc="T T T"
Tb 1.7902 4.1505 2.5589
Tb 5.3705 0.0000 3.1043
Dy 3.5803 2.5571 0.0000
Dy 0.0000 5.7439 0.0000
Dy 3.5803 5.7439 0.0000
Dy 0.0000 2.5571 0.0000
Ho 5.3705 4.1505 2.5432
Ho 1.7902 0.0000 3.1200
Tm 1.7902 4.1505 5.6623
Tm 5.3705 0.0000 0.0009
```

=====

Here is a relaxed structure of PrSiAg from Alexandria. Energies are from PBE.

**Space group**: No. 109
**DOS at the Fermi energy**: 4.9 states/eV/cell
**V**: 23.3 A^3/atom
**Energy relative to the elements, uncorrected**: -471 meV/atom
**M_tot**: 0.00 μB/f.u.
**Uncorrected energy**: -4.823 eV per atom

```
6
Lattice="-2.0485 -7.9569 0.0569 0.2765 -6.2205 5.3611 -1.8825 7.8084 -1.7311" Properties=species:S:1:pos:R:3 pbc="T T T"
Pr -1.0291 -8.2333 3.1464
Pr -1.3891 -3.8950 3.6069
Si -0.0007 -0.0059 0.0023
Si -2.4092 -3.6245 0.5196
Ag -0.2939 -2.3513 0.8986
Ag -2.7024 -5.9699 1.4159
```

=====

Here is a relaxed structure of Mg16Al12Se from Alexandria. Energies are from PBE.

**Space group**: No. 160
**DOS at the Fermi energy**: 11.7 states/eV/cell
**V**: 20.2 A^3/atom
**Energy relative to the elements, uncorrected**: -33 meV/atom
**M_tot**: 0.00 μB/f.u.
**Uncorrected energy**: -2.581 eV per atom

```
29
Lattice="-5.8235 6.0897 3.3329 -2.3999 -8.2380 2.9121 8.3014 1.8925 3.1001" Properties=species:S:1:pos:R:3 pbc="T T T"
Mg 2.8770 0.6556 1.0854
Mg 0.0761 -0.2496 9.1199
Mg -3.2514 -0.9299 5.2104
Mg 2.4789 0.4535 4.7287
Mg -3.3066 -2.9402 2.8277
Mg -0.6756 -2.5328 4.6733
Mg 4.1676 -1.5309 2.8039
Mg -0.8316 -2.8553 1.0203
Mg 2.3724 -2.6010 5.1177
Mg -0.7890 4.2348 3.0031
Mg 1.2489 -4.2939 2.7526
Mg 1.0093 3.1035 5.2852
Mg -2.0181 2.1102 1.1661
Mg 3.0634 3.0900 2.9396
Mg -1.6848 1.6907 4.7973
Mg -4.2403 0.9675 2.9424
Al 5.1634 1.1254 3.6906
Al -1.5460 -0.4487 2.6992
Al -5.5851 -2.8877 4.5772
Al 0.4589 6.1227 4.7734
Al 1.1312 -1.2442 2.6551
Al 3.1030 5.3370 4.7299
Al -3.5970 3.7285 3.8349
Al -1.4737 -5.1577 3.5740
Al 5.2416 -3.6132 4.4670
Al 0.4823 1.4715 2.7348
Al 3.2383 -5.5096 4.4319
Al -6.2260 -0.2056 4.6560
Se 0.0488 -0.1600 5.8445
```